A plane-wave DFT calculation with PBE-GGA was carried out for a relaxed CsSnPb2Br8 crystal.

abc: 7.2647 6.9788 9.4864
angles: 89.59 89.60 88.72
Sites, in units of the cell vectors:
1 Cs 0.0000 0.0000 0.5000
2 Sn 0.0000 0.0000 0.0000
3 Pb 0.4996 0.4986 0.7524
4 Pb 0.5004 0.5014 0.2476
5 Br 0.1617 0.7546 0.2017
6 Br 0.6823 0.7599 0.0008
7 Br 0.8361 0.2433 0.2010
8 Br 0.8383 0.2454 0.7983
9 Br 0.3177 0.2401 0.9992
10 Br 0.1639 0.7567 0.7990
11 Br 0.6016 0.7337 0.4971
12 Br 0.3984 0.2663 0.5029

Output
crystal system	triclinic
V	40.07	Å³/atom
formation energy from raw total energies	-0.93	eV per atom